1.
# Dy6In2Ni, optimized geometry, DFT PBE
data_Dy6In2Ni
_cell_length_a 7.0992
_cell_length_b 7.0990
_cell_length_c 12.3017
_cell_angle_alpha 90.00
_cell_angle_beta 125.23
_cell_angle_gamma 90.00
_symmetry_space_group_name_H-M 'P 1 21/c 1'
_symmetry_Int_Tables_number 14
loop_
_symmetry_equiv_pos_as_xyz
'x,y,z'
'-x,-y,-z'
'-x,y+1/2,-z+1/2'
'x,-y+1/2,z+1/2'
loop_
_atom_site_label
_atom_site_fract_x
_atom_site_fract_y
_atom_site_fract_z
_atom_site_occupancy
Dy1 0.2389 0.0000 0.2448 1
Dy2 0.2478 0.2469 0.0029 1
Dy3 0.2497 0.7450 0.5029 1
In1 0.2500 0.9999 0.7501 1
Ni1 0.5000 0.0000 0.5000 1
# **Formation energy from the elements**: -0.25 eV per atom

***

2.
# Dy3InNi8, optimized geometry, DFT PBE
data_Dy3InNi8
_cell_length_a 5.0214
_cell_length_b 5.0214
_cell_length_c 24.7375
_cell_angle_alpha 90.00
_cell_angle_beta 90.00
_cell_angle_gamma 120.00
_symmetry_space_group_name_H-M 'R 3 m'
_symmetry_Int_Tables_number 160
_symmetry_space_group_name_Hall 'R 3 -2"'
loop_
_atom_site_label
_atom_site_fract_x
_atom_site_fract_y
_atom_site_fract_z
_atom_site_occupancy
Dy1 0.0000 0.0000 0.0000 1
Dy2 0.0000 0.0000 0.1273 1
Dy3 0.0000 0.0000 0.5080 1
In1 0.0000 0.0000 0.6307 1
Ni1 0.0000 0.0000 0.3159 1
Ni2 0.0000 0.0000 0.8157 1
Ni3 0.1671 0.3342 0.3994 1
Ni4 0.1676 0.3353 0.8995 1
# **Formation energy from the elements**: -0.42 eV per atom

***

Repeat the first record exactly.
# Dy6In2Ni, optimized geometry, DFT PBE
data_Dy6In2Ni
_cell_length_a 7.0992
_cell_length_b 7.0990
_cell_length_c 12.3017
_cell_angle_alpha 90.00
_cell_angle_beta 125.23
_cell_angle_gamma 90.00
_symmetry_space_group_name_H-M 'P 1 21/c 1'
_symmetry_Int_Tables_number 14
loop_
_symmetry_equiv_pos_as_xyz
'x,y,z'
'-x,-y,-z'
'-x,y+1/2,-z+1/2'
'x,-y+1/2,z+1/2'
loop_
_atom_site_label
_atom_site_fract_x
_atom_site_fract_y
_atom_site_fract_z
_atom_site_occupancy
Dy1 0.2389 0.0000 0.2448 1
Dy2 0.2478 0.2469 0.0029 1
Dy3 0.2497 0.7450 0.5029 1
In1 0.2500 0.9999 0.7501 1
Ni1 0.5000 0.0000 0.5000 1
# **Formation energy from the elements**: -0.25 eV per atom

***

Question: Which value of formation energy from the elements does entry 2 give?
Answer: -0.42 eV per atom